# 1
# Na2YSnF PBE-GGA optimized geometry
# E_form (uncorrected): -1285.5 meV/atom
data_Na2YSnF
_symmetry_space_group_name_H-M 'P 1'
_symmetry_Int_Tables_number 1
_cell_length_a 4.571
_cell_length_b 4.571
_cell_length_c 5.141
_cell_angle_alpha 90.00
_cell_angle_beta 90.00
_cell_angle_gamma 90.00
loop_
_symmetry_equiv_pos_as_xyz
'x,y,z'
loop_
_atom_site_label
_atom_site_type_symbol
_atom_site_fract_x
_atom_site_fract_y
_atom_site_fract_z
_atom_site_occupancy
Y1 Y 0.000 0.000 0.500 1
Na1 Na 0.000 0.500 0.000 1
Na2 Na 0.500 0.000 0.000 1
Sn1 Sn 0.500 0.500 0.500 1
F1 F 0.000 0.000 0.000 1

# 2
# NaZnSnF6 PBE-GGA optimized geometry
# E_form (uncorrected): -2391.8 meV/atom
data_NaZnSnF6
_symmetry_space_group_name_H-M 'P 1'
_symmetry_Int_Tables_number 1
_cell_length_a 5.483
_cell_length_b 5.483
_cell_length_c 4.826
_cell_angle_alpha 90.00
_cell_angle_beta 90.00
_cell_angle_gamma 59.99
loop_
_symmetry_equiv_pos_as_xyz
'x,y,z'
loop_
_atom_site_label
_atom_site_type_symbol
_atom_site_fract_x
_atom_site_fract_y
_atom_site_fract_z
_atom_site_occupancy
Na1 Na 0.667 0.667 0.500 1
Zn1 Zn 0.333 0.333 0.500 1
Sn1 Sn 0.000 0.000 0.000 1
F1 F 0.030 0.311 0.259 1
F2 F 0.310 0.030 0.741 1
F3 F 0.659 0.311 0.741 1
F4 F 0.030 0.659 0.741 1
F5 F 0.311 0.659 0.259 1
F6 F 0.659 0.030 0.259 1

# 3
# NaSr3F PBE-GGA optimized geometry
# E_form (uncorrected): -963.8 meV/atom
# Energy above the lowest structure with this stoichiometry: 0.0 meV/atom
data_NaSr3F
_symmetry_space_group_name_H-M 'P 1'
_symmetry_Int_Tables_number 1
_cell_length_a 5.716
_cell_length_b 5.716
_cell_length_c 5.716
_cell_angle_alpha 90.00
_cell_angle_beta 90.00
_cell_angle_gamma 90.00
loop_
_symmetry_equiv_pos_as_xyz
'x,y,z'
loop_
_atom_site_label
_atom_site_type_symbol
_atom_site_fract_x
_atom_site_fract_y
_atom_site_fract_z
_atom_site_occupancy
Sr1 Sr 0.000 0.500 0.000 1
Sr2 Sr 0.000 0.000 0.500 1
Sr3 Sr 0.500 0.000 0.000 1
F1 F 0.000 0.000 0.000 1
Na1 Na 0.500 0.500 0.500 1

# 4
# Na5Sr3F12 PBE-GGA optimized geometry
# E_form (uncorrected): -3071.3 meV/atom
data_Na5Sr3F12
_symmetry_space_group_name_H-M 'P 1'
_symmetry_Int_Tables_number 1
_cell_length_a 11.941
_cell_length_b 11.941
_cell_length_c 11.941
_cell_angle_alpha 109.47
_cell_angle_beta 109.47
_cell_angle_gamma 109.47
loop_
_symmetry_equiv_pos_as_xyz
'x,y,z'
loop_
_atom_site_label
_atom_site_type_symbol
_atom_site_fract_x
_atom_site_fract_y
_atom_site_fract_z
_atom_site_occupancy
Sr1 Sr 0.750 0.375 0.125 1
Sr2 Sr 0.875 0.750 0.125 1
Sr3 Sr 0.375 0.750 0.625 1
Sr4 Sr 0.250 0.125 0.375 1
Sr5 Sr 0.875 0.125 0.250 1
Sr6 Sr 0.375 0.625 0.250 1
Sr7 Sr 0.625 0.375 0.750 1
Sr8 Sr 0.125 0.875 0.750 1
Sr9 Sr 0.750 0.875 0.625 1
Sr10 Sr 0.625 0.250 0.375 1
Sr11 Sr 0.125 0.250 0.875 1
Sr12 Sr 0.250 0.625 0.875 1
Na1 Na 0.125 0.375 0.250 1
Na2 Na 0.000 0.500 0.000 1
Na3 Na 0.000 0.000 0.000 1
Na4 Na 0.375 0.250 0.125 1
Na5 Na 0.500 0.000 0.500 1
Na6 Na 0.500 0.500 0.000 1
Na7 Na 0.125 0.750 0.375 1
Na8 Na 0.750 0.125 0.875 1
Na9 Na 0.750 0.625 0.375 1
Na10 Na 0.375 0.125 0.750 1
Na11 Na 0.625 0.875 0.250 1
Na12 Na 0.500 0.500 0.500 1
Na13 Na 0.500 0.000 0.000 1
Na14 Na 0.000 0.000 0.500 1
Na15 Na 0.250 0.375 0.625 1
Na16 Na 0.250 0.875 0.125 1
Na17 Na 0.000 0.500 0.500 1
Na18 Na 0.875 0.250 0.625 1
Na19 Na 0.625 0.750 0.875 1
Na20 Na 0.875 0.625 0.750 1
F1 F 0.723 0.135 0.048 1
F2 F 0.325 0.548 0.413 1
F3 F 0.952 0.365 0.277 1
F4 F 0.548 0.223 0.135 1
F5 F 0.588 0.723 0.675 1
F6 F 0.952 0.587 0.175 1
F7 F 0.325 0.777 0.412 1
F8 F 0.087 0.912 0.135 1
F9 F 0.587 0.952 0.675 1
F10 F 0.723 0.588 0.175 1
F11 F 0.777 0.452 0.365 1
F12 F 0.825 0.913 0.048 1
F13 F 0.135 0.723 0.548 1
F14 F 0.365 0.413 0.088 1
F15 F 0.088 0.913 0.365 1
F16 F 0.412 0.135 0.587 1
F17 F 0.088 0.175 0.223 1
F18 F 0.452 0.675 0.087 1
F19 F 0.825 0.912 0.277 1
F20 F 0.135 0.412 0.087 1
F21 F 0.365 0.952 0.777 1
F22 F 0.587 0.635 0.412 1
F23 F 0.913 0.825 0.548 1
F24 F 0.777 0.325 0.912 1
F25 F 0.413 0.365 0.588 1
F26 F 0.087 0.175 0.452 1
F27 F 0.223 0.675 0.088 1
F28 F 0.175 0.088 0.723 1
F29 F 0.635 0.048 0.223 1
F30 F 0.865 0.588 0.913 1
F31 F 0.548 0.325 0.913 1
F32 F 0.588 0.865 0.413 1
F33 F 0.912 0.825 0.777 1
F34 F 0.912 0.087 0.635 1
F35 F 0.865 0.277 0.452 1
F36 F 0.175 0.087 0.952 1
F37 F 0.635 0.587 0.912 1
F38 F 0.413 0.048 0.325 1
F39 F 0.277 0.412 0.825 1
F40 F 0.223 0.548 0.635 1
F41 F 0.913 0.088 0.865 1
F42 F 0.675 0.223 0.588 1
F43 F 0.452 0.777 0.865 1
F44 F 0.048 0.413 0.825 1
F45 F 0.412 0.277 0.325 1
F46 F 0.048 0.635 0.723 1
F47 F 0.675 0.452 0.587 1
F48 F 0.277 0.865 0.952 1

# 5
# Na6SrF8 PBE-GGA optimized geometry
# E_form (uncorrected): -2803.7 meV/atom
data_Na6SrF8
_symmetry_space_group_name_H-M 'P 1'
_symmetry_Int_Tables_number 1
_cell_length_a 3.486
_cell_length_b 8.352
_cell_length_c 8.352
_cell_angle_alpha 120.00
_cell_angle_beta 90.00
_cell_angle_gamma 90.00
loop_
_symmetry_equiv_pos_as_xyz
'x,y,z'
loop_
_atom_site_label
_atom_site_type_symbol
_atom_site_fract_x
_atom_site_fract_y
_atom_site_fract_z
_atom_site_occupancy
Na1 Na 0.757 0.677 0.134 1
Na2 Na 0.757 0.866 0.543 1
Na3 Na 0.757 0.457 0.323 1
Na4 Na 0.243 0.323 0.866 1
Na5 Na 0.243 0.134 0.457 1
Na6 Na 0.243 0.543 0.677 1
Sr1 Sr 0.500 0.000 0.000 1
F1 F 0.745 0.980 0.275 1
F2 F 0.745 0.725 0.705 1
F3 F 0.745 0.295 0.020 1
F4 F 0.255 0.020 0.725 1
F5 F 0.255 0.275 0.295 1
F6 F 0.255 0.705 0.980 1
F7 F 0.748 0.333 0.667 1
F8 F 0.252 0.667 0.333 1

# 6
# NaSr2F PBE-GGA optimized geometry
# E_form (uncorrected): -696.1 meV/atom
# Energy above the lowest structure with this stoichiometry: 621.9 meV/atom
data_NaSr2F
_symmetry_space_group_name_H-M 'P 1'
_symmetry_Int_Tables_number 1
_cell_length_a 5.865
_cell_length_b 5.865
_cell_length_c 5.865
_cell_angle_alpha 60.00
_cell_angle_beta 60.00
_cell_angle_gamma 60.00
loop_
_symmetry_equiv_pos_as_xyz
'x,y,z'
loop_
_atom_site_label
_atom_site_type_symbol
_atom_site_fract_x
_atom_site_fract_y
_atom_site_fract_z
_atom_site_occupancy
Sr1 Sr 0.250 0.250 0.250 1
Sr2 Sr 0.750 0.750 0.750 1
F1 F 0.000 0.000 0.000 1
Na1 Na 0.500 0.500 0.500 1

# 7
# Na2SrF4 PBE-GGA optimized geometry
# E_form (uncorrected): -3189.3 meV/atom
# Energy above the lowest structure with this stoichiometry: 17.0 meV/atom
data_Na2SrF4
_symmetry_space_group_name_H-M 'P 1'
_symmetry_Int_Tables_number 1
_cell_length_a 3.435
_cell_length_b 5.753
_cell_length_c 10.980
_cell_angle_alpha 90.00
_cell_angle_beta 90.00
_cell_angle_gamma 107.37
loop_
_symmetry_equiv_pos_as_xyz
'x,y,z'
loop_
_atom_site_label
_atom_site_type_symbol
_atom_site_fract_x
_atom_site_fract_y
_atom_site_fract_z
_atom_site_occupancy
Na1 Na 0.130 0.260 0.435 1
Na2 Na 0.870 0.740 0.935 1
Na3 Na 0.130 0.260 0.065 1
Na4 Na 0.870 0.740 0.565 1
Sr1 Sr 0.614 0.229 0.750 1
Sr2 Sr 0.386 0.771 0.250 1
F1 F 0.781 0.562 0.121 1
F2 F 0.781 0.562 0.379 1
F3 F 0.219 0.438 0.879 1
F4 F 0.219 0.438 0.621 1
F5 F 0.960 0.920 0.750 1
F6 F 0.040 0.080 0.250 1
F7 F 0.500 0.000 0.000 1
F8 F 0.500 0.000 0.500 1

# 8
# NaSr4F10 PBE-GGA optimized geometry
# E_form (uncorrected): -3496.8 meV/atom
data_NaSr4F10
_symmetry_space_group_name_H-M 'P 1'
_symmetry_Int_Tables_number 1
_cell_length_a 4.137
_cell_length_b 4.137
_cell_length_c 16.586
_cell_angle_alpha 82.84
_cell_angle_beta 82.84
_cell_angle_gamma 60.00
loop_
_symmetry_equiv_pos_as_xyz
'x,y,z'
loop_
_atom_site_label
_atom_site_type_symbol
_atom_site_fract_x
_atom_site_fract_y
_atom_site_fract_z
_atom_site_occupancy
Na1 Na 0.000 0.000 0.000 1
Sr1 Sr 0.397 0.397 0.809 1
Sr2 Sr 0.799 0.799 0.603 1
Sr3 Sr 0.201 0.201 0.397 1
Sr4 Sr 0.603 0.603 0.191 1
F1 F 0.953 0.953 0.141 1
F2 F 0.150 0.150 0.551 1
F3 F 0.552 0.552 0.345 1
F4 F 0.345 0.345 0.966 1
F5 F 0.747 0.747 0.758 1
F6 F 0.655 0.655 0.034 1
F7 F 0.850 0.850 0.449 1
F8 F 0.253 0.253 0.242 1
F9 F 0.047 0.047 0.859 1
F10 F 0.448 0.448 0.655 1

# 9
# Na2Sr2F PBE-GGA optimized geometry
# E_form (uncorrected): -948.3 meV/atom
data_Na2Sr2F
_symmetry_space_group_name_H-M 'P 1'
_symmetry_Int_Tables_number 1
_cell_length_a 7.314
_cell_length_b 7.314
_cell_length_c 7.018
_cell_angle_alpha 90.00
_cell_angle_beta 90.00
_cell_angle_gamma 90.00
loop_
_symmetry_equiv_pos_as_xyz
'x,y,z'
loop_
_atom_site_label
_atom_site_type_symbol
_atom_site_fract_x
_atom_site_fract_y
_atom_site_fract_z
_atom_site_occupancy
Sr1 Sr 0.303 0.803 0.000 1
Sr2 Sr 0.803 0.697 0.000 1
Sr3 Sr 0.697 0.197 0.000 1
Sr4 Sr 0.197 0.303 0.000 1
F1 F 0.000 0.000 0.000 1
F2 F 0.500 0.500 0.000 1
Na1 Na 0.156 0.656 0.500 1
Na2 Na 0.656 0.844 0.500 1
Na3 Na 0.844 0.344 0.500 1
Na4 Na 0.344 0.156 0.500 1

- The lowest E_form (uncorrected) belongs to which entry?
  NaSr4F10

- Which of these has the highest E_form (uncorrected)?
  NaSr2F